Entry from Alexandria via LeMat-Bulk: a geometry-optimized Li2InSn2 structure (PBE-GGA).

```
Li2InSn2
1.0
8.003 0.000 0.000
0.000 8.003 0.000
0.000 0.000 3.456
Li In Sn
4 2 4
Direct
0.122 0.378 0.000
0.378 0.878 0.000
0.622 0.122 0.000
0.878 0.622 0.000
0.000 0.000 0.000
0.500 0.500 0.000
0.176 0.676 0.500
0.324 0.176 0.500
0.676 0.824 0.500
0.824 0.324 0.500
```

**Total magnetic moment**: 0.000 μB per atom
**Fermi-level density of states**: 1.44 states/eV/f.u.
**Electronic total energy**: -30.9 eV per cell